This record from the Alexandria database describes a relaxed structure of SiPdSeBr2. The functional is PBE-GGA.

For the density of states at the Fermi level, the calculation gives 1.60 states/eV/cell. As for the electronic total energy: -3.093 eV per atom. The polymorph energy (0 for the lowest one) is 0.000 eV/atom.

The structure belongs to space group P4/mmm (No. 123); the cell edges are 5.0190, 5.0190 and 5.0977 Å and the angles 90.00°, 90.00° and 90.00°. The asymmetric unit holds Si at (0.0000, 0.0000, 0.0000), Pd at (0.5000, 0.5000, 0.5000), Se at (0.5000, 0.5000, 0.0000) and Br at (0.0000, 0.5000, 0.5000).

This record from the Alexandria database describes a relaxed structure of SiPdSeBr2. The functional is PBE-GGA.

For the density of states at the Fermi level, the calculation gives 5.88 states/eV/cell. As for the electronic total energy: -3.091 eV per atom. The polymorph energy (0 for the lowest one) is 0.003 eV/atom.

The structure belongs to space group P4/mmm (No. 123); the cell edges are 5.0167, 5.0167 and 5.0000 Å and the angles 90.00°, 90.00° and 90.00°. The asymmetric unit holds Si at (0.0000, 0.0000, 0.0000), Pd at (0.5000, 0.5000, 0.5000), Se at (0.0000, 0.0000, 0.5000) and Br at (0.0000, 0.5000, 0.0000).

This record from the Alexandria database describes a relaxed structure of Sm4PdSe2Br. The functional is PBE-GGA.

For the density of states at the Fermi level, the calculation gives 4.37 states/eV/cell. As for the electronic total energy: -5.462 eV per atom.

The structure belongs to space group P2/m (No. 10); the cell edges are 7.3407, 4.0537 and 7.4100 Å and the angles 90.00°, 108.10° and 90.00°. The asymmetric unit holds Sm at (0.2335, 0.0000, 0.2340), Sm at (0.2328, 0.5000, 0.7423), Pd at (0.0000, 0.0000, 0.5000), Se at (0.0000, 0.5000, 0.0000), Se at (0.5000, 0.0000, 0.0000) and Br at (0.5000, 0.5000, 0.5000).

This record from the Alexandria database describes a relaxed structure of SnPdSeBr2. The functional is PBE-GGA.

For the density of states at the Fermi level, the calculation gives 1.28 states/eV/cell. As for the electronic total energy: -3.330 eV per atom. The polymorph energy (0 for the lowest one) is 0.000 eV/atom.

The structure belongs to space group P4/mmm (No. 123); the cell edges are 5.0591, 5.0591 and 5.1687 Å and the angles 90.00°, 90.00° and 90.00°. The asymmetric unit holds Sn at (0.0000, 0.0000, 0.0000), Pd at (0.5000, 0.5000, 0.5000), Se at (0.5000, 0.5000, 0.0000) and Br at (0.0000, 0.5000, 0.5000).

This record from the Alexandria database describes a relaxed structure of SnPdSe2Br. The functional is PBE-GGA.

For the density of states at the Fermi level, the calculation gives 3.50 states/eV/cell. As for the electronic total energy: -3.571 eV per atom. The polymorph energy (0 for the lowest one) is 0.000 eV/atom.

The structure belongs to space group P4/mmm (No. 123); the cell edges are 5.0055, 5.0055 and 5.0957 Å and the angles 90.00°, 90.00° and 90.00°. The asymmetric unit holds Sn at (0.0000, 0.0000, 0.0000), Pd at (0.5000, 0.5000, 0.5000), Se at (0.0000, 0.5000, 0.5000) and Br at (0.5000, 0.5000, 0.0000).

This record from the Alexandria database describes a relaxed structure of TaPdSe2Br. The functional is PBE-GGA.

For the density of states at the Fermi level, the calculation gives 4.65 states/eV/cell. As for the electronic total energy: -4.309 eV per atom. The polymorph energy (0 for the lowest one) is 0.671 eV/atom.

The structure belongs to space group P4/mmm (No. 123); the cell edges are 4.9279, 4.9279 and 4.8808 Å and the angles 90.00°, 90.00° and 90.00°. The asymmetric unit holds Ta at (0.0000, 0.0000, 0.0000), Pd at (0.5000, 0.5000, 0.5000), Se at (0.0000, 0.5000, 0.5000) and Br at (0.5000, 0.5000, 0.0000).

This record from the Alexandria database describes a relaxed structure of TaPdSe2Br. The functional is PBE-GGA.

For the density of states at the Fermi level, the calculation gives 6.02 states/eV/cell. As for the electronic total energy: -4.980 eV per atom. The polymorph energy (0 for the lowest one) is 0.000 eV/atom.

The structure belongs to space group P4/mmm (No. 123); the cell edges are 4.9989, 4.9989 and 5.1503 Å and the angles 90.00°, 90.00° and 90.00°. The asymmetric unit holds Ta at (0.0000, 0.0000, 0.0000), Pd at (0.5000, 0.5000, 0.5000), Se at (0.0000, 0.5000, 0.0000) and Br at (0.0000, 0.0000, 0.5000).

This record from the Alexandria database describes a relaxed structure of TaPdSeBr2. The functional is PBE-GGA.

For the density of states at the Fermi level, the calculation gives 8.52 states/eV/cell. As for the electronic total energy: -4.587 eV per atom. The polymorph energy (0 for the lowest one) is 0.000 eV/atom.

The structure belongs to space group P4/mmm (No. 123); the cell edges are 5.1296, 5.1296 and 4.9880 Å and the angles 90.00°, 90.00° and 90.00°. The asymmetric unit holds Ta at (0.0000, 0.0000, 0.0000), Pd at (0.5000, 0.5000, 0.5000), Se at (0.0000, 0.0000, 0.5000) and Br at (0.0000, 0.5000, 0.0000).

What did the eighth record say?
This record from the Alexandria database describes a relaxed structure of TaPdSeBr2. The functional is PBE-GGA.

For the density of states at the Fermi level, the calculation gives 8.52 states/eV/cell. As for the electronic total energy: -4.587 eV per atom. The polymorph energy (0 for the lowest one) is 0.000 eV/atom.

The structure belongs to space group P4/mmm (No. 123); the cell edges are 5.1296, 5.1296 and 4.9880 Å and the angles 90.00°, 90.00° and 90.00°. The asymmetric unit holds Ta at (0.0000, 0.0000, 0.0000), Pd at (0.5000, 0.5000, 0.5000), Se at (0.0000, 0.0000, 0.5000) and Br at (0.0000, 0.5000, 0.0000).

Which of these has the lowest electronic total energy? Sm4PdSe2Br

Which value of electronic total energy does entry 3 give? -5.462 eV per atom

Copy entry 7 word for word.
This record from the Alexandria database describes a relaxed structure of TaPdSe2Br. The functional is PBE-GGA.

For the density of states at the Fermi level, the calculation gives 6.02 states/eV/cell. As for the electronic total energy: -4.980 eV per atom. The polymorph energy (0 for the lowest one) is 0.000 eV/atom.

The structure belongs to space group P4/mmm (No. 123); the cell edges are 4.9989, 4.9989 and 5.1503 Å and the angles 90.00°, 90.00° and 90.00°. The asymmetric unit holds Ta at (0.0000, 0.0000, 0.0000), Pd at (0.5000, 0.5000, 0.5000), Se at (0.0000, 0.5000, 0.0000) and Br at (0.0000, 0.0000, 0.5000).